[1]
Density functional theory data (GGA+U) for crystalline VInIO2 at its relaxed geometry.

## Properties
The crystal system is tetragonal. For the density of states at the Fermi level, the calculation gives 0.820 states/eV/atom. The energy relative to the lowest polymorph listed for this composition is 0.000 eV per atom.

Lattice parameters (Å, degrees): 4.095 4.095 5.590 90.00 90.00 90.00
Each line ends with the local moment (μB).
Atoms (fractional coordinates):
I  0.000  0.000  0.500  -0.03
V  0.000  0.000  0.000  1.64
O  0.000  0.500  0.000  -0.16
O  0.500  0.000  0.000  -0.16
In  0.500  0.500  0.500  -0.02

---

[2]
Density functional theory data (GGA+U) for crystalline VInI2O at its relaxed geometry.

## Properties
The crystal system is tetragonal. For the density of states at the Fermi level, the calculation gives 0.279 states/eV/atom. The energy relative to the lowest polymorph listed for this composition is 0.643 eV per atom.

Lattice parameters (Å, degrees): 6.070 6.070 3.966 90.00 90.00 90.00
Each line ends with the local moment (μB).
Atoms (fractional coordinates):
I  0.000  0.500  0.000  -0.01
I  0.500  0.000  0.000  -0.01
V  0.500  0.500  0.500  3.24
O  0.000  0.000  0.500  0.00
In  0.000  0.000  0.000  0.00

---

[3]
Density functional theory data (GGA+U) for crystalline VInIO4 at its relaxed geometry.

## Properties
The crystal system is monoclinic. The total energy comes out at -5.841 eV/atom.

Lattice parameters (Å, degrees): 6.693 6.693 6.678 78.41 78.41 54.61
Atoms (fractional coordinates):
V  0.631  0.631  0.745
V  0.369  0.369  0.255
In  0.298  0.298  0.835
In  0.702  0.702  0.165
I  0.044  0.044  0.298
I  0.956  0.956  0.702
O  0.307  0.307  0.511
O  0.693  0.693  0.489
O  0.097  0.548  0.122
O  0.516  0.516  0.221
O  0.452  0.903  0.878
O  0.548  0.097  0.122
O  0.484  0.484  0.779
O  0.903  0.452  0.878

---

[4]
Density functional theory data (GGA+U) for crystalline VInIO2 at its relaxed geometry.

## Properties
The crystal system is tetragonal. For the density of states at the Fermi level, the calculation gives 0.554 states/eV/atom. The energy relative to the lowest polymorph listed for this composition is 0.438 eV per atom.

Lattice parameters (Å, degrees): 4.163 4.163 6.101 90.00 90.00 90.00
Each line ends with the local moment (μB).
Atoms (fractional coordinates):
I  0.000  0.000  0.500  -0.04
V  0.500  0.500  0.500  3.03
O  0.000  0.500  0.000  0.16
O  0.500  0.000  0.000  0.16
In  0.000  0.000  0.000  -0.01

---

[5]
Density functional theory data (GGA+U) for crystalline InWI2O at its relaxed geometry.

## Properties
The crystal system is tetragonal. For the density of states at the Fermi level, the calculation gives 0.197 states/eV/atom. The energy relative to the lowest polymorph listed for this composition is 0.000 eV per atom.

Lattice parameters (Å, degrees): 6.192 6.192 3.923 90.00 90.00 90.00
Each line ends with the local moment (μB).
Atoms (fractional coordinates):
I  0.000  0.500  0.000  0.00
I  0.500  0.000  0.000  0.00
O  0.000  0.000  0.500  -0.21
W  0.000  0.000  0.000  2.67
In  0.500  0.500  0.500  0.01

---

[6]
Density functional theory data (GGA+U) for crystalline InWI2O at its relaxed geometry.

## Properties
The crystal system is tetragonal. For the density of states at the Fermi level, the calculation gives 0.319 states/eV/atom. The energy relative to the lowest polymorph listed for this composition is 0.733 eV per atom.

Lattice parameters (Å, degrees): 6.120 6.120 3.997 90.00 90.00 90.00
Each line ends with the local moment (μB).
Atoms (fractional coordinates):
I  0.000  0.500  0.000  0.05
I  0.500  0.000  0.000  0.05
O  0.000  0.000  0.500  0.00
W  0.500  0.500  0.500  3.74
In  0.000  0.000  0.000  0.00

---

no.,mass density (g/cm3)
1,5.75
2,4.95
3,4.99
4,5.10
5,6.28
6,6.31